! MgSnPb3, optimized geometry, DFT PBE-GGA; values from VASP
! Energy: -0.244 Ry per atom
! Excess energy over the best structure of this formula in the dataset: 0 meV per atom
! Space-group type: C2/m, No. 12
! Energy of formation: 22 meV per atom
! Crystal system: monoclinic
! Spin magnetization: 0.0 μB/f.u.
&SYSTEM
  ibrav = 0, nat = 10, ntyp = 3
/
ATOMIC_SPECIES
Mg 24.30 Mg.upf
Sn 118.71 Sn.upf
Pb 207.20 Pb.upf
CELL_PARAMETERS angstrom
7.640 -2.882 0.000
7.640 2.882 0.000
-2.139 0.000 6.629
ATOMIC_POSITIONS crystal
Mg 0.099 0.099 0.449
Mg 0.901 0.901 0.551
Sn 0.497 0.497 0.722
Sn 0.503 0.503 0.278
Pb 0.089 0.089 0.914
Pb 0.294 0.294 0.359
Pb 0.304 0.304 0.855
Pb 0.696 0.696 0.145
Pb 0.706 0.706 0.641
Pb 0.911 0.911 0.086